# 1
{
  "formula": "Pm2ScAs4Rh3",
  "functional": "GGA-PBE",
  "state": "relaxed",
  "lattice_angstrom": [[-3.1089, 1.3081, 2.6343], [0.9637, -3.1685, 2.7107], [6.8956, 6.3583, 4.9807]],
  "species": ["Pm", "Pm", "Sc", "As", "As", "As", "As", "Rh", "Rh", "Rh"],
  "frac_coords": [[0.5000, 0.0000, 0.2299], [0.0000, 0.5000, 0.7701], [0.5000, 0.5000, 0.5000], [0.5000, 0.5000, 0.0000], [0.0000, 0.0000, 0.0000], [0.5000, 0.0000, 0.6500], [0.0000, 0.5000, 0.3500], [0.0000, 0.0000, 0.5000], [0.5000, 0.0000, 0.8831], [0.0000, 0.5000, 0.1169]],
  "crystal_system": "tetragonal",
  "e_form_ev_per_atom": -0.9921
}

# 2
{
  "formula": "Pm2ScAs3Rh4",
  "functional": "GGA-PBE",
  "state": "relaxed",
  "lattice_angstrom": [[4.0901, 0.0000, 0.0000], [0.0000, 4.0901, 0.0000], [0.0000, 0.0000, 11.1941]],
  "species": ["Pm", "Pm", "Sc", "As", "As", "As", "Rh", "Rh", "Rh", "Rh"],
  "frac_coords": [[0.5000, 0.0000, 0.2297], [0.0000, 0.5000, 0.7703], [0.5000, 0.5000, 0.5000], [0.0000, 0.0000, 0.5000], [0.5000, 0.0000, 0.8671], [0.0000, 0.5000, 0.1329], [0.5000, 0.5000, 0.0000], [0.0000, 0.0000, 0.0000], [0.5000, 0.0000, 0.6487], [0.0000, 0.5000, 0.3513]],
  "crystal_system": "tetragonal",
  "e_form_ev_per_atom": -0.9960
}

# 3
{
  "formula": "Pm4AsRhSe2",
  "functional": "GGA-PBE",
  "state": "relaxed",
  "lattice_angstrom": [[4.1512, 0.0000, 0.0000], [0.0000, 7.3115, 0.1639], [0.0000, -2.5212, 6.9313]],
  "species": ["Pm", "Pm", "Pm", "Pm", "As", "Rh", "Se", "Se"],
  "frac_coords": [[0.5000, 0.2524, 0.2356], [0.5000, 0.7476, 0.7644], [0.0000, 0.2629, 0.7683], [0.0000, 0.7371, 0.2317], [0.0000, 0.0000, 0.0000], [0.5000, 0.5000, 0.0000], [0.5000, 0.0000, 0.5000], [0.0000, 0.5000, 0.5000]],
  "e_form_raw_ev_per_atom": -1.44,
  "crystal_system": "monoclinic"
}

# 4
{
  "formula": "PmAsRhSe",
  "functional": "GGA-PBE",
  "state": "relaxed",
  "lattice_angstrom": [[4.1347, 0.0000, 0.0000], [0.0000, 4.1347, 0.0000], [0.0000, 0.0000, 9.6332]],
  "species": ["Pm", "Pm", "As", "As", "Rh", "Rh", "Se", "Se"],
  "frac_coords": [[0.5000, 0.0000, 0.7352], [0.0000, 0.5000, 0.2648], [0.0000, 0.5000, 0.8495], [0.5000, 0.0000, 0.1505], [0.5000, 0.5000, 0.0000], [0.0000, 0.0000, 0.0000], [0.0000, 0.0000, 0.5000], [0.5000, 0.5000, 0.5000]],
  "e_form_raw_ev_per_atom": -1.04,
  "crystal_system": "tetragonal"
}

# 5
{
  "formula": "Pm6As2RhSe3",
  "functional": "GGA-PBE",
  "state": "relaxed",
  "lattice_angstrom": [[-2.9209, -1.4159, 2.6341], [5.0452, -6.5235, 2.0881], [3.7498, 7.2397, 4.7325]],
  "species": ["Pm", "Pm", "Pm", "Pm", "Pm", "Pm", "As", "As", "Rh", "Se", "Se", "Se"],
  "frac_coords": [[0.3396, 0.9135, 0.6792], [0.6691, 0.5780, 0.3382], [0.6604, 0.0865, 0.3208], [0.0011, 0.2374, 0.0022], [0.9989, 0.7626, 0.9978], [0.3309, 0.4220, 0.6618], [0.8339, 0.6657, 0.6677], [0.1661, 0.3343, 0.3323], [0.5000, 0.0000, 0.0000], [0.5000, 0.5000, 0.0000], [0.8302, 0.1670, 0.6604], [0.1698, 0.8330, 0.3396]],
  "e_form_raw_ev_per_atom": -1.55,
  "crystal_system": "monoclinic"
}

# 6
{
  "formula": "Pm3Si2AsRh9",
  "functional": "GGA-PBE",
  "state": "relaxed",
  "lattice_angstrom": [[6.5929, 0.0000, 0.0000], [-3.2964, 5.7096, 0.0000], [0.0000, 0.0000, 7.4508]],
  "species": ["Pm", "Pm", "Pm", "Si", "Si", "As", "Rh", "Rh", "Rh", "Rh", "Rh", "Rh", "Rh", "Rh", "Rh"],
  "frac_coords": [[0.3333, 0.6667, 0.6741], [0.0000, 0.0000, 0.0000], [0.6667, 0.3333, 0.3259], [0.3333, 0.6667, 0.1564], [0.6667, 0.3333, 0.8436], [0.0000, 0.0000, 0.5000], [0.8195, 0.1805, 0.6504], [0.8195, 0.6391, 0.6504], [0.3609, 0.1805, 0.6504], [0.6391, 0.8195, 0.3496], [0.1805, 0.3609, 0.3496], [0.1805, 0.8195, 0.3496], [0.5000, 0.0000, 0.0000], [0.0000, 0.5000, 0.0000], [0.5000, 0.5000, 0.0000]],
  "e_form_raw_ev_per_atom": -0.57,
  "crystal_system": "trigonal"
}

# 7
{
  "formula": "Pm3SiAs2Rh9",
  "functional": "GGA-PBE",
  "state": "relaxed",
  "lattice_angstrom": [[-1.3556, -5.6842, -2.5188], [3.7550, 4.0608, -3.1468], [6.7337, -3.2869, 3.7935]],
  "species": ["Pm", "Pm", "Pm", "Si", "As", "As", "Rh", "Rh", "Rh", "Rh", "Rh", "Rh", "Rh", "Rh", "Rh"],
  "frac_coords": [[0.3333, 0.6667, 0.6882], [0.0000, 0.0000, 0.0000], [0.6667, 0.3333, 0.3118], [0.0000, 0.0000, 0.5000], [0.3333, 0.6667, 0.1832], [0.6667, 0.3333, 0.8168], [0.8571, 0.1429, 0.7073], [0.8571, 0.7142, 0.7073], [0.2858, 0.1429, 0.7073], [0.7142, 0.8571, 0.2927], [0.1429, 0.2858, 0.2927], [0.1429, 0.8571, 0.2927], [0.5000, 0.0000, 0.0000], [0.0000, 0.5000, 0.0000], [0.5000, 0.5000, 0.0000]],
  "e_form_raw_ev_per_atom": -0.50,
  "crystal_system": "trigonal"
}

# 8
{
  "formula": "PmSmAs2Rh5",
  "functional": "GGA-PBE",
  "state": "relaxed",
  "lattice_angstrom": [[-4.2271, -0.3441, -0.5145], [0.5365, -0.2654, -4.2300], [0.6432, -8.8527, 0.6371]],
  "species": ["Pm", "Sm", "As", "As", "Rh", "Rh", "Rh", "Rh", "Rh"],
  "frac_coords": [[0.0000, 0.0000, 0.5000], [0.0000, 0.0000, 0.0000], [0.5000, 0.5000, 0.1488], [0.5000, 0.5000, 0.8512], [0.0000, 0.5000, 0.2666], [0.5000, 0.0000, 0.2666], [0.0000, 0.5000, 0.7334], [0.5000, 0.0000, 0.7334], [0.5000, 0.5000, 0.5000]],
  "crystal_system": "tetragonal",
  "e_form_ev_per_atom": -0.7611
}

# 9
{
  "formula": "Pm2SmAs3Rh4",
  "functional": "GGA-PBE",
  "state": "relaxed",
  "lattice_angstrom": [[4.1500, 0.0000, 0.0000], [0.0000, 4.1500, 0.0000], [0.0000, 0.0000, 11.4790]],
  "species": ["Pm", "Pm", "Sm", "As", "As", "As", "Rh", "Rh", "Rh", "Rh"],
  "frac_coords": [[0.5000, 0.0000, 0.2214], [0.0000, 0.5000, 0.7786], [0.5000, 0.5000, 0.5000], [0.0000, 0.0000, 0.5000], [0.5000, 0.0000, 0.8730], [0.0000, 0.5000, 0.1270], [0.5000, 0.5000, 0.0000], [0.0000, 0.0000, 0.0000], [0.5000, 0.0000, 0.6626], [0.0000, 0.5000, 0.3374]],
  "crystal_system": "tetragonal",
  "e_form_ev_per_atom": -0.9338
}

# 10
{
  "formula": "PmSnAsRh2",
  "functional": "GGA-PBE",
  "state": "relaxed",
  "lattice_angstrom": [[4.2635, 0.0000, 0.0000], [0.0000, 4.2634, 0.0000], [0.0000, 0.0002, 6.6287]],
  "species": ["Pm", "Sn", "As", "Rh", "Rh"],
  "frac_coords": [[0.0000, 0.0000, 0.5044], [0.5000, 0.5000, 0.6470], [0.0000, 0.0000, 0.0690], [0.0000, 0.5000, 0.8898], [0.5000, 0.0000, 0.8898]],
  "crystal_system": "tetragonal",
  "e_form_ev_per_atom": -0.5033
}

# 11
{
  "formula": "PmSnAsRh",
  "functional": "GGA-PBE",
  "state": "relaxed",
  "lattice_angstrom": [[-1.1067, -2.7204, 3.9765], [3.6118, -2.1116, 2.6334], [1.0702, 1.6843, 4.5229]],
  "species": ["As", "Rh", "Sn", "Pm"],
  "frac_coords": [[0.2500, 0.2500, 0.2500], [0.7500, 0.7500, 0.7500], [0.0000, 0.0000, 0.0000], [0.5000, 0.5000, 0.5000]],
  "crystal_system": "cubic",
  "e_form_ev_per_atom": -0.4529
}